#1
The following is a PBE-GGA calculation of Sn3HI after structural relaxation, from Alexandria.

The structure belongs to space group Pm-3m (No. 221); the cell edges are 5.974, 5.974 and 5.974 Å and the angles 90.00°, 90.00° and 90.00°. The inequivalent atoms are Sn at (0.000, 0.000, 0.500), H at (0.500, 0.500, 0.500) and I at (0.000, 0.000, 0.000).

The calculation puts the magnetic moment at 0.72 μB/f.u. For the calculated volume, the calculation gives 42.6 Å³/atom. As for the density of states at the Fermi level: 0.78 states/eV/atom.



#2
The following is a PBE-GGA calculation of Sn3HI after structural relaxation, from Alexandria.

The structure belongs to space group Pm-3m (No. 221); the cell edges are 4.983, 4.983 and 4.983 Å and the angles 90.00°, 90.00° and 90.00°. The inequivalent atoms are Sn at (0.000, 0.000, 0.500), H at (0.000, 0.000, 0.000) and I at (0.500, 0.500, 0.500).

The calculation puts the magnetic moment at 0.00 μB/f.u. For the calculated volume, the calculation gives 24.8 Å³/atom. As for the density of states at the Fermi level: 0.90 states/eV/atom.



Verdict on stability: #1 comes out at the bottom.



#1
The following is a PBE-GGA calculation of SnTe2HI after structural relaxation, from Alexandria.

The structure belongs to space group P4/mmm (No. 123); the cell edges are 5.771, 5.771 and 6.151 Å and the angles 90.00°, 90.00° and 90.00°. The inequivalent atoms are Sn at (0.000, 0.000, 0.000), Te at (0.000, 0.500, 0.000), H at (0.500, 0.500, 0.500) and I at (0.000, 0.000, 0.500).

The calculation puts the magnetic moment at 0.36 μB/f.u. For the calculated volume, the calculation gives 41.0 Å³/atom. As for the density of states at the Fermi level: 1.52 states/eV/atom.



#2
The following is a PBE-GGA calculation of SnTe2HI after structural relaxation, from Alexandria.

The structure belongs to space group P4/mmm (No. 123); the cell edges are 4.564, 4.564 and 6.384 Å and the angles 90.00°, 90.00° and 90.00°. The inequivalent atoms are Sn at (0.000, 0.000, 0.000), Te at (0.000, 0.500, 0.500), H at (0.500, 0.500, 0.500) and I at (0.500, 0.500, 0.000).

The calculation puts the magnetic moment at 0.00 μB/f.u. For the calculated volume, the calculation gives 26.6 Å³/atom. As for the density of states at the Fermi level: 0.23 states/eV/atom.



Verdict on stability: #1 comes out at the bottom.



#1
The following is a PBE-GGA calculation of SrHI3 after structural relaxation, from Alexandria.

The structure belongs to space group Pm-3m (No. 221); the cell edges are 5.364, 5.364 and 5.364 Å and the angles 90.00°, 90.00° and 90.00°. The inequivalent atoms are Sr at (0.000, 0.000, 0.000), H at (0.500, 0.500, 0.500) and I at (0.000, 0.500, 0.500).

The calculation puts the magnetic moment at 0.00 μB/f.u. For the calculated volume, the calculation gives 30.9 Å³/atom. As for the density of states at the Fermi level: 0.53 states/eV/atom.



#2
The following is a PBE-GGA calculation of SrHI3 after structural relaxation, from Alexandria.

The structure belongs to space group Pna2_1 (No. 33); the cell edges are 8.675, 7.859 and 10.645 Å and the angles 90.00°, 90.00° and 90.00°. The inequivalent atoms are Sr at (0.126, 0.071, 0.000), H at (0.038, 0.695, 0.145), I at (0.030, 0.345, 0.491), I at (0.153, 0.815, 0.301) and I at (0.173, 0.834, 0.678).

The calculation puts the magnetic moment at 0.00 μB/f.u. For the calculated volume, the calculation gives 36.3 Å³/atom. As for the density of states at the Fermi level: 0.00 states/eV/atom.



Verdict on stability: #1 comes out at the bottom.



#1
The following is a PBE-GGA calculation of SrH3I after structural relaxation, from Alexandria.

The structure belongs to space group Pm-3m (No. 221); the cell edges are 4.507, 4.507 and 4.507 Å and the angles 90.00°, 90.00° and 90.00°. The inequivalent atoms are Sr at (0.000, 0.000, 0.000), H at (0.000, 0.000, 0.500) and I at (0.500, 0.500, 0.500).

The calculation puts the magnetic moment at 1.40 μB/f.u. For the calculated volume, the calculation gives 18.3 Å³/atom. As for the density of states at the Fermi level: 0.84 states/eV/atom.



#2
The following is a PBE-GGA calculation of SrH3I after structural relaxation, from Alexandria.

The structure belongs to space group Pm-3m (No. 221); the cell edges are 4.473, 4.473 and 4.473 Å and the angles 90.00°, 90.00° and 90.00°. The inequivalent atoms are Sr at (0.000, 0.000, 0.000), H at (0.000, 0.500, 0.500) and I at (0.500, 0.500, 0.500).

The calculation puts the magnetic moment at 0.00 μB/f.u. For the calculated volume, the calculation gives 17.9 Å³/atom. As for the density of states at the Fermi level: 0.23 states/eV/atom.



Verdict on stability: #2 comes out at the bottom.



#1
The following is a PBE-GGA calculation of Sr2H3I after structural relaxation, from Alexandria.

The structure belongs to space group P-3m1 (No. 164); the cell edges are 4.2295, 4.2295 and 7.6723 Å and the angles 90.00°, 90.00° and 120.00°. The inequivalent atoms are Sr at (0.3333, 0.6667, 0.3212), H at (0.0000, 0.0000, 0.5000), H at (0.3333, 0.6667, 0.6427) and I at (0.0000, 0.0000, 0.0000).

The calculation puts the magnetic moment at 0.00 μB/f.u. For the calculated volume, the calculation gives 19.8 Å³/atom. As for the density of states at the Fermi level: 0.00 states/eV/atom.



#2
The following is a PBE-GGA calculation of Sr2H3I after structural relaxation, from Alexandria.

The structure belongs to space group C2/m (No. 12); the cell edges are 16.195, 4.231 and 8.185 Å and the angles 90.00°, 114.01° and 90.00°. The inequivalent atoms are Sr at (0.026, 0.000, 0.282), Sr at (0.193, 0.500, 0.648), H at (0.059, 0.500, 0.393), H at (0.100, 0.000, 0.634), H at (0.189, 0.000, 0.458) and I at (0.136, 0.500, 0.042).

The calculation puts the magnetic moment at 0.00 μB/f.u. For the calculated volume, the calculation gives 21.3 Å³/atom. As for the density of states at the Fermi level: 0.00 states/eV/atom.



Verdict on stability: #2 comes out at the bottom.



#1
The following is a PBE-GGA calculation of SrH2I after structural relaxation, from Alexandria.

The structure belongs to space group Fm-3m (No. 225); the cell edges are 6.741, 6.741 and 6.741 Å and the angles 90.00°, 90.00° and 90.00°. The inequivalent atoms are Sr at (0.000, 0.000, 0.000), H at (0.250, 0.250, 0.250) and I at (0.000, 0.000, 0.500).

The calculation puts the magnetic moment at 0.00 μB/f.u. For the calculated volume, the calculation gives 19.1 Å³/atom. As for the density of states at the Fermi level: 0.73 states/eV/atom.



#2
The following is a PBE-GGA calculation of SrH2I after structural relaxation, from Alexandria.

The structure belongs to space group I4_1/amd (No. 141, origin choice 2); the cell edges are 4.659, 4.659 and 17.757 Å and the angles 90.00°, 90.00° and 90.00°. The inequivalent atoms are Sr at (0.000, 0.250, 0.375), H at (0.000, 0.000, 0.500) and I at (0.000, 0.250, 0.875).

The calculation puts the magnetic moment at 0.00 μB/f.u. For the calculated volume, the calculation gives 24.1 Å³/atom. As for the density of states at the Fermi level: 0.28 states/eV/atom.



Verdict on stability: #1 comes out at the bottom.